{
  "formula": "Sr6In2P",
  "functional": "GGA-PBE",
  "state": "relaxed",
  "lattice": [[7.498, 0.000, 0.000], [0.000, 10.646, 0.000], [-5.961, 0.000, 9.159]],
  "species": ["Sr", "Sr", "Sr", "Sr", "Sr", "Sr", "Sr", "Sr", "Sr", "Sr", "Sr", "Sr", "In", "In", "In", "In", "P", "P"],
  "frac_coords": [[0.137, 0.136, 0.465], [0.137, 0.364, 0.965], [0.296, 0.748, 0.431], [0.296, 0.752, 0.931], [0.322, 0.039, 0.186], [0.322, 0.461, 0.686], [0.678, 0.539, 0.314], [0.678, 0.961, 0.814], [0.704, 0.248, 0.069], [0.704, 0.252, 0.569], [0.863, 0.636, 0.035], [0.863, 0.864, 0.535], [0.221, 0.078, 0.823], [0.221, 0.422, 0.323], [0.779, 0.578, 0.677], [0.779, 0.922, 0.177], [0.500, 0.000, 0.500], [0.500, 0.500, 0.000]],
  "space_group": "P2_1/c (14)",
  "delta_e_f_mev_per_atom": -461
}

---

{
  "formula": "CaAcHoAl",
  "functional": "GGA-PBE",
  "state": "relaxed",
  "lattice": [[7.930, 0.000, 0.000], [0.000, 7.930, 0.000], [0.000, 0.000, 7.930]],
  "species": ["Ca", "Ca", "Ca", "Ca", "Ac", "Ac", "Ac", "Ac", "Ho", "Ho", "Ho", "Ho", "Al", "Al", "Al", "Al"],
  "frac_coords": [[0.000, 0.000, 0.000], [0.000, 0.500, 0.500], [0.500, 0.000, 0.500], [0.500, 0.500, 0.000], [0.250, 0.250, 0.250], [0.250, 0.750, 0.750], [0.750, 0.250, 0.750], [0.750, 0.750, 0.250], [0.250, 0.250, 0.750], [0.250, 0.750, 0.250], [0.750, 0.250, 0.250], [0.750, 0.750, 0.750], [0.000, 0.000, 0.500], [0.000, 0.500, 0.000], [0.500, 0.000, 0.000], [0.500, 0.500, 0.500]],
  "space_group": "F-43m (216)",
  "delta_e_f_mev_per_atom": -3
}

---

{
  "formula": "HgMoIr2",
  "functional": "GGA-PBE",
  "state": "relaxed",
  "lattice": [[9.337, 0.000, 0.000], [0.000, 2.816, 0.000], [-0.825, 0.000, 4.925]],
  "species": ["Hg", "Hg", "Mo", "Mo", "Ir", "Ir", "Ir", "Ir"],
  "frac_coords": [[0.000, 0.000, 0.000], [0.500, 0.500, 0.000], [0.000, 0.500, 0.500], [0.500, 0.000, 0.500], [0.243, 0.000, 0.727], [0.257, 0.500, 0.273], [0.743, 0.500, 0.727], [0.757, 0.000, 0.273]],
  "space_group": "C2/m (12)",
  "delta_e_f_mev_per_atom": 269
}

---

{
  "formula": "SrHg6Pb6",
  "functional": "GGA-PBE",
  "state": "relaxed",
  "lattice": [[6.848, 0.000, 0.000], [-3.424, 5.930, 0.000], [0.000, 0.000, 9.995]],
  "species": ["Sr", "Hg", "Hg", "Hg", "Hg", "Hg", "Hg", "Pb", "Pb", "Pb", "Pb", "Pb", "Pb"],
  "frac_coords": [[0.000, 0.000, 0.000], [0.000, 0.000, 0.352], [0.000, 0.000, 0.648], [0.333, 0.667, 0.000], [0.333, 0.667, 0.500], [0.667, 0.333, 0.000], [0.667, 0.333, 0.500], [0.000, 0.500, 0.243], [0.000, 0.500, 0.757], [0.500, 0.000, 0.243], [0.500, 0.000, 0.757], [0.500, 0.500, 0.243], [0.500, 0.500, 0.757]],
  "space_group": "P6/mmm (191)",
  "delta_e_f_mev_per_atom": -50
}

---

{
  "formula": "TaAsSe2S",
  "functional": "GGA-PBE",
  "state": "relaxed",
  "lattice": [[4.658, 0.000, 0.000], [0.000, 4.658, 0.000], [0.000, 0.000, 4.770]],
  "species": ["Ta", "As", "Se", "Se", "S"],
  "frac_coords": [[0.000, 0.000, 0.000], [0.500, 0.500, 0.000], [0.000, 0.500, 0.500], [0.500, 0.000, 0.500], [0.500, 0.500, 0.500]],
  "space_group": "P4/mmm (123)",
  "formation_energy_uncorrected_ev_per_atom": 0.9224
}

---

{
  "formula": "Sc2In2PIr4",
  "functional": "GGA-PBE",
  "state": "relaxed",
  "lattice": [[-3.058, 3.058, 4.257], [3.058, -3.058, 4.257], [3.058, 3.058, -4.257]],
  "species": ["Sc", "Sc", "In", "In", "P", "Ir", "Ir", "Ir", "Ir"],
  "frac_coords": [[0.205, 0.205, 0.000], [0.795, 0.795, 0.000], [0.250, 0.750, 0.500], [0.750, 0.250, 0.500], [0.500, 0.500, 0.000], [0.237, 0.237, 0.474], [0.237, 0.763, 0.000], [0.763, 0.237, 0.000], [0.763, 0.763, 0.526]],
  "space_group": "I4/mmm (139)",
  "delta_e_f_mev_per_atom": -444
}

---

no.,volume (Å³/cell),magnetization (μB per cell)
1,731,0.00
2,499,0.00
3,130,0.00
4,406,0.00
5,104,1.34
6,159,0.00